An optimized crystal structure of TcHgSeO2. Source: the Alexandria database, functional PBE.

a b c (Å): 3.8528 3.8528 5.5534
angles (deg): 90.00 90.00 90.00
Closest atoms and distances in Å follow each position.
Fractional positions:
O 0.5000 0.0000 0.0000  2 Tc 1.93
O 0.0000 0.5000 0.0000  2 Tc 1.93
Se 0.0000 0.0000 0.5000  4 Hg 2.72, 2 Tc 2.78
Hg 0.5000 0.5000 0.5000  4 Se 2.72
Tc 0.0000 0.0000 0.0000  4 O 1.93

Space group: P4/mmm (123)
Formation energy (no corrections) (meV per atom): -703.3
Uncorrected energy (eV/atom): -5.517